VASP calculation (PBEsol) on a relaxed structure of ScSi2N.

Geometry as POSCAR:
```
ScSi2N
1.0
5.354 0.027 -0.044
-2.052 4.945 0.044
2.052 2.220 4.419
Si Sc N
4 2 2
Cartesian
1.804 4.176 2.149
-0.153 2.674 0.569
4.481 5.200 2.757
4.576 2.335 3.364
0.000 0.000 0.000
2.677 1.805 1.094
2.677 5.388 3.326
0.000 3.583 2.232
```

Calculated values
ΔE_f (raw) = -0.20 eV/atom
SG = I-42d (122)



VASP calculation (PBEsol) on a relaxed structure of Ni3OF5.

Geometry as POSCAR:
```
Ni3OF5
1.0
5.443 0.039 -0.038
1.688 5.250 -0.013
2.126 1.605 6.565
O F Ni
2 10 6
Cartesian
4.858 5.210 6.447
7.115 5.169 1.859
2.121 1.674 4.640
3.873 3.036 2.385
5.453 4.196 0.189
4.437 1.602 0.044
5.419 3.911 4.137
3.818 2.668 6.318
2.635 4.439 4.441
4.831 1.197 4.262
6.568 2.466 2.100
4.410 5.756 2.233
2.758 2.144 1.027
1.794 5.139 0.076
3.744 2.828 4.347
6.414 4.885 5.511
8.122 6.020 3.146
5.569 4.162 2.170
```

Calculated values
ΔE_f (raw) = -1.43 eV/atom
ΔE to the lowest computed polymorph = 0.0039 eV per atom
SG = P1 (1)



VASP calculation (PBEsol) on a relaxed structure of FeCoTe.

Geometry as POSCAR:
```
FeCoTe
1.0
-0.058 -2.831 -1.856
1.597 -1.660 2.482
-4.057 1.328 1.189
Co Te Fe
1 1 1
Cartesian
-0.013 -0.004 0.006
-2.198 -0.613 1.004
-0.307 -2.546 0.805
```

Calculated values
ΔE_f (raw) = 0.31 eV/atom
ΔE to the lowest computed polymorph = 0.0000 eV per atom
SG = I4mm (107)



VASP calculation (PBEsol) on a relaxed structure of KMo2Br.

Geometry as POSCAR:
```
KMo2Br
1.0
4.629 0.000 0.000
2.315 4.009 0.000
2.315 1.336 3.780
Mo K Br
2 1 1
Cartesian
6.944 4.009 2.835
2.315 1.336 0.945
0.000 0.000 0.000
4.629 2.673 1.890
```

Calculated values
ΔE_f (raw) = 2.09 eV/atom
ΔE to the lowest computed polymorph = 1.6989 eV per atom
SG = Fm-3m (225)



The evaluated total energy for the records listed, in turn: -27.4; -46.2; -19.3; -18.2 eV/f.u..